1.
Pr8Sm5Sn after structural relaxation. Source: Alexandria, functional PBE.

Geometry as CIF:
```
data_Pr8Sm5Sn
_chemical_formula_sum 'Pr8 Sm5 Sn1'
_space_group_name_H-M_alt 'P 1'
_space_group_IT_number 1
_space_group_name_Hall 'P 1'
_cell_length_a 8.703
_cell_length_b 8.703
_cell_length_c 10.490
_cell_angle_alpha 126.81
_cell_angle_beta 126.81
_cell_angle_gamma 62.96
loop_
_atom_site_label
_atom_site_type_symbol
_atom_site_fract_x
_atom_site_fract_y
_atom_site_fract_z
_atom_site_occupancy
Pr1 Pr 0.016 0.016 0.178 1
Pr2 Pr 0.018 0.478 0.907 1
Pr3 Pr 0.202 0.476 0.589 1
Pr4 Pr 0.472 0.204 0.855 1
Pr5 Pr 0.522 0.982 0.093 1
Pr6 Pr 0.524 0.798 0.411 1
Pr7 Pr 0.796 0.528 0.145 1
Pr8 Pr 0.984 0.984 0.822 1
Sm1 Sm 0.066 0.934 0.500 1
Sm2 Sm 0.280 0.430 0.284 1
Sm3 Sm 0.570 0.720 0.716 1
Sm4 Sm 0.638 0.224 0.577 1
Sm5 Sm 0.776 0.362 0.423 1
Sn1 Sn 0.318 0.682 0.000 1
```

Calculated values
SG: C2

2.
Pr8SmSn2 after structural relaxation. Source: Alexandria, functional PBE.

Geometry as CIF:
```
data_Pr8SmSn2
_chemical_formula_sum 'Pr8 Sm1 Sn2'
_space_group_name_H-M_alt 'P 1'
_space_group_IT_number 1
_space_group_name_Hall 'P 1'
_cell_length_a 9.167
_cell_length_b 9.167
_cell_length_c 6.472
_cell_angle_alpha 93.37
_cell_angle_beta 93.37
_cell_angle_gamma 44.26
loop_
_atom_site_label
_atom_site_type_symbol
_atom_site_fract_x
_atom_site_fract_y
_atom_site_fract_z
_atom_site_occupancy
Pr1 Pr 0.083 0.083 0.403 1
Pr2 Pr 0.147 0.652 0.093 1
Pr3 Pr 0.289 0.289 0.665 1
Pr4 Pr 0.348 0.853 0.907 1
Pr5 Pr 0.652 0.147 0.093 1
Pr6 Pr 0.711 0.711 0.335 1
Pr7 Pr 0.853 0.348 0.907 1
Pr8 Pr 0.917 0.917 0.597 1
Sm1 Sm 0.500 0.500 0.500 1
Sn1 Sn 0.242 0.242 0.170 1
Sn2 Sn 0.758 0.758 0.830 1
```

Calculated values
SG: C2/m

3.
Pr4SmSn2 after structural relaxation. Source: Alexandria, functional PBE.

Geometry as CIF:
```
data_Pr4SmSn2
_chemical_formula_sum 'Pr8 Sm2 Sn4'
_space_group_name_H-M_alt 'P 1'
_space_group_IT_number 1
_space_group_name_Hall 'P 1'
_cell_length_a 8.341
_cell_length_b 6.640
_cell_length_c 9.081
_cell_angle_alpha 90.00
_cell_angle_beta 114.65
_cell_angle_gamma 90.00
loop_
_atom_site_label
_atom_site_type_symbol
_atom_site_fract_x
_atom_site_fract_y
_atom_site_fract_z
_atom_site_occupancy
Pr1 Pr 0.030 0.250 0.494 1
Pr2 Pr 0.180 0.506 0.216 1
Pr3 Pr 0.180 0.994 0.216 1
Pr4 Pr 0.337 0.250 0.905 1
Pr5 Pr 0.663 0.750 0.095 1
Pr6 Pr 0.820 0.006 0.784 1
Pr7 Pr 0.820 0.494 0.784 1
Pr8 Pr 0.970 0.750 0.506 1
Sm1 Sm 0.393 0.750 0.644 1
Sm2 Sm 0.607 0.250 0.356 1
Sn1 Sn 0.218 0.750 0.904 1
Sn2 Sn 0.432 0.250 0.595 1
Sn3 Sn 0.568 0.750 0.405 1
Sn4 Sn 0.782 0.250 0.096 1
```

Calculated values
SG: P2_1/m

4.
Pr5Sm8Sn after structural relaxation. Source: Alexandria, functional PBE.

Geometry as CIF:
```
data_Pr5Sm8Sn
_chemical_formula_sum 'Pr5 Sm8 Sn1'
_space_group_name_H-M_alt 'P 1'
_space_group_IT_number 1
_space_group_name_Hall 'P 1'
_cell_length_a 8.639
_cell_length_b 8.639
_cell_length_c 10.416
_cell_angle_alpha 126.84
_cell_angle_beta 126.84
_cell_angle_gamma 62.85
loop_
_atom_site_label
_atom_site_type_symbol
_atom_site_fract_x
_atom_site_fract_y
_atom_site_fract_z
_atom_site_occupancy
Pr1 Pr 0.000 0.000 0.000 1
Pr2 Pr 0.300 0.576 0.095 1
Pr3 Pr 0.424 0.700 0.905 1
Pr4 Pr 0.482 0.207 0.781 1
Pr5 Pr 0.793 0.518 0.219 1
Sm1 Sm 0.037 0.462 0.591 1
Sm2 Sm 0.044 0.914 0.321 1
Sm3 Sm 0.086 0.956 0.679 1
Sm4 Sm 0.275 0.411 0.365 1
Sm5 Sm 0.538 0.963 0.409 1
Sm6 Sm 0.549 0.128 0.091 1
Sm7 Sm 0.589 0.725 0.635 1
Sm8 Sm 0.872 0.451 0.909 1
Sn1 Sn 0.747 0.253 0.500 1
```

Calculated values
SG: C2

| no. | uncorrected energy (eV per atom) |
| --- | --- |
| 1 | -4.60 |
| 2 | -4.82 |
| 3 | -4.96 |
| 4 | -4.58 |